Here is Sc2CdWAu after structural relaxation from the Alexandria database. Energies are from PBE.

Results
Crystal system   tetragonal
D(E_F)   9.08 states/eV/f.u.
Total moment   0.00 μB per atom
Calculated formation energy   1.062 eV/atom
Space group   P4/mmm (123)
Raw total energy   -24.5 eV for the cell shown
Calculated volume   25.4 Å³ per atom

abc: 5.0494 4.9730 5.0494
angles: 90.00 90.00 90.00
Fractional coordinates of all 5 atoms:
Sc 0.0000 0.0000 0.5000
Sc 0.5000 0.0000 0.0000
Au 0.0000 0.0000 0.0000
W 0.5000 0.5000 0.5000
Cd 0.0000 0.5000 0.0000